DFT (GGA-PBE) results for a relaxed ScTa2ReN crystal.

For the uncorrected formation energy, the calculation gives 1.916 eV/atom. The size of the total moment comes out at 0.00 μB per cell. The space-group type is No. 123.

Cell lengths 4.959, 4.959, 3.709 Å; angles 90.00, 90.00, 90.00 degrees
Positions (direct):
Sc: 0.000 0.000 0.000
Ta: 0.000 0.500 0.000
Ta: 0.500 0.000 0.000
Re: 0.500 0.500 0.500
N: 0.000 0.000 0.500